YTcNi3 | GGA-PBEsol | relaxed

abc: 4.466 4.466 4.466
angles: 90.00 90.00 90.00
Space group Pm-3m (No. 221)
Symmetry-distinct sites (fractional):
Y  0.000  0.000  0.000 x1
Tc  0.500  0.500  0.500 x1
Ni  0.000  0.000  0.500 x3

Output
Crystal system: cubic
ρ (g/cm3): 6.77
Formation energy (eV per atom): 1.760

***

YTcNi2 | GGA-PBEsol | relaxed

abc: 2.856 4.446 9.220
angles: 90.00 90.00 90.00
Space group Imm2 (No. 44)
Symmetry-distinct sites (fractional):
Y  0.000  0.000  0.000 x2
Tc  0.000  0.500  0.782 x2
Ni  0.000  0.000  0.513 x2
Ni  0.000  0.500  0.229 x2

Output
Crystal system: orthorhombic
ρ (g/cm3): 8.63
Formation energy (eV per atom): 0.170